Record 1
Here is a relaxed SbPt2Rh2 crystal from Alexandria via LeMat-Bulk. Energies are from PBE.

Computed properties:
**ΔE_f (raw)**: 3.01 kJ per mole of atoms
**DFT total energy**: -30.75 eV per formula unit
**Energy above the lowest structure with this stoichiometry**: 156 meV per atom
**Mass density**: 13.904 g cm⁻³
**SG**: No. 127
**Volume**: 171.43 Å³/cell

Lattice parameters (Å, degrees): 6.7283 6.7283 3.7869 90.00 90.00 90.00
With the nearest neighbours (Å) after each atom.
Atoms (fractional coordinates):
Sb (0.5000, 0.5000, 0.0000)  4 Rh 2.60
Sb (0.0000, 0.0000, 0.0000)  4 Rh 2.60
Pt (0.1517, 0.6517, 0.5000)  6 Rh 2.73-2.74, 1 Pt 2.89
Rh (0.8603, 0.6397, 0.0000)  2 Sb 2.60, 1 Rh 2.66, 6 Pt 2.73-2.74
Pt (0.8483, 0.3483, 0.5000)  6 Rh 2.73-2.74, 1 Pt 2.89
Rh (0.1397, 0.3603, 0.0000)  2 Sb 2.60, 1 Rh 2.66, 6 Pt 2.73-2.74
Pt (0.3483, 0.1517, 0.5000)  6 Rh 2.73-2.74, 1 Pt 2.89
Rh (0.3603, 0.8603, 0.0000)  2 Sb 2.60, 1 Rh 2.66, 6 Pt 2.73-2.74
Pt (0.6517, 0.8483, 0.5000)  6 Rh 2.73-2.74, 1 Pt 2.89
Rh (0.6397, 0.1397, 0.0000)  2 Sb 2.60, 1 Rh 2.66, 6 Pt 2.73-2.74

***

Record 2
Here is a relaxed ScSbPtRh crystal from Alexandria via LeMat-Bulk. Energies are from PBE.

Computed properties:
**ΔE_f (raw)**: -72.99 kJ per mole of atoms
**DFT total energy**: -26.87 eV per formula unit
**Mass density**: 10.889 g cm⁻³
**SG**: No. 216
**Volume**: 70.87 Å³/cell

Lattice parameters (Å, degrees): 4.6450 4.6450 4.6450 60.00 60.00 60.00
With the nearest neighbours (Å) after each atom.
Atoms (fractional coordinates):
Sc (0.2500, 0.2500, 0.2500)  4 Rh 2.84, 4 Pt 2.84
Sb (0.7500, 0.7500, 0.7500)  4 Pt 2.84, 4 Rh 2.84
Pt (0.0000, 0.0000, 0.0000)  4 Sb 2.84, 4 Sc 2.84
Rh (0.5000, 0.5000, 0.5000)  4 Sc 2.84, 4 Sb 2.84

***

Record 3
Here is a relaxed ScSbPt2Rh crystal from Alexandria via LeMat-Bulk. Energies are from PBE.

Computed properties:
**ΔE_f (raw)**: 39.04 kJ per mole of atoms
**DFT total energy**: -27.86 eV per formula unit
**Mass density**: 9.402 g cm⁻³
**SG**: No. 123
**Volume**: 116.53 Å³/cell

Lattice parameters (Å, degrees): 4.9290 4.7966 4.9290 90.00 90.00 90.00
With the nearest neighbours (Å) after each atom.
Atoms (fractional coordinates):
Rh (0.0000, 0.0000, 0.0000)  2 Sb 2.40, 4 Pt 2.46
Sb (0.0000, 0.5000, 0.0000)  2 Rh 2.40
Pt (0.0000, 0.0000, 0.5000)  2 Rh 2.46
Pt (0.5000, 0.0000, 0.0000)  2 Rh 2.46
Sc (0.5000, 0.5000, 0.5000)  8 Pt 3.44, 4 Sb 3.49